1.
DFT (PBE) results for a relaxed LaPm2Pd crystal.

Lattice parameters (Å, degrees): 3.900 12.302 10.053 90.00 90.00 90.00
Positions (direct):
1 La 0.000 0.074 0.250
2 La 0.000 0.926 0.750
3 La 0.500 0.426 0.750
4 La 0.500 0.574 0.250
5 Pm 0.000 0.363 0.060
6 Pm 0.000 0.363 0.440
7 Pm 0.000 0.637 0.560
8 Pm 0.000 0.637 0.940
9 Pm 0.500 0.137 0.560
10 Pm 0.500 0.137 0.940
11 Pm 0.500 0.863 0.060
12 Pm 0.500 0.863 0.440
13 Pd 0.000 0.232 0.750
14 Pd 0.000 0.768 0.250
15 Pd 0.500 0.268 0.250
16 Pd 0.500 0.732 0.750

## Properties
For the total magnetization, the calculation gives 0.00 μB/cell. The relative energy among the computed polymorphs is 18 meV per atom. As for the total energy: -5.3086 eV/atom. The energy of formation from the pure elements is -0.403 eV per atom.

---

2.
DFT (PBE) results for a relaxed DyErTl crystal.

Lattice parameters (Å, degrees): 5.264 5.264 3.658 90.00 90.00 120.00
Positions (direct):
1 Dy 0.000 0.000 0.000
2 Er 0.333 0.667 0.499
3 Tl 0.667 0.333 0.506

## Properties
For the total magnetization, the calculation gives 0.00 μB/cell. The relative energy among the computed polymorphs is 124 meV per atom. As for the total energy: -3.9734 eV/atom. The energy of formation from the pure elements is -0.130 eV per atom.

---

3.
DFT (PBE) results for a relaxed KAc2La3Te6 crystal.

Lattice parameters (Å, degrees): 10.502 10.502 9.453 103.50 103.50 25.55
Positions (direct):
1 K 0.000 0.000 0.000
2 Ac 0.331 0.331 0.662
3 Ac 0.669 0.669 0.338
4 La 0.000 0.000 0.500
5 La 0.336 0.336 0.173
6 La 0.664 0.664 0.827
7 Te 0.163 0.163 0.588
8 Te 0.171 0.171 0.078
9 Te 0.500 0.500 0.261
10 Te 0.500 0.500 0.739
11 Te 0.829 0.829 0.922
12 Te 0.837 0.837 0.412

## Properties
For the total magnetization, the calculation gives 0.00 μB/cell. As for the total energy: -5.0998 eV/atom. The energy relative to the elements, uncorrected comes out at -1520.9 meV per atom.

---

4.
DFT (PBE) results for a relaxed MgTcIrRu crystal.

Lattice parameters (Å, degrees): 6.200 6.200 6.200 90.00 90.00 90.00
Positions (direct):
1 Mg 0.000 0.000 0.000
2 Mg 0.000 0.500 0.500
3 Mg 0.500 0.000 0.500
4 Mg 0.500 0.500 0.000
5 Tc 0.000 0.000 0.500
6 Tc 0.000 0.500 0.000
7 Tc 0.500 0.000 0.000
8 Tc 0.500 0.500 0.500
9 Ir 0.250 0.250 0.250
10 Ir 0.250 0.750 0.750
11 Ir 0.750 0.250 0.750
12 Ir 0.750 0.750 0.250
13 Ru 0.250 0.250 0.750
14 Ru 0.250 0.750 0.250
15 Ru 0.750 0.250 0.250
16 Ru 0.750 0.750 0.750

## Properties
For the total magnetization, the calculation gives 7.09 μB/cell. As for the total energy: -7.4497 eV/atom. The energy of formation from the pure elements is 0.075 eV per atom.

---

5.
DFT (PBE) results for a relaxed CuC5 crystal.

Lattice parameters (Å, degrees): 2.444 2.444 7.758 90.00 90.00 90.00
Positions (direct):
1 Cu 0.000 0.000 0.000
2 C 0.000 0.000 0.256
3 C 0.000 0.000 0.744
4 C 0.500 0.500 0.323
5 C 0.500 0.500 0.500
6 C 0.500 0.500 0.677

## Properties
For the total magnetization, the calculation gives 0.00 μB/cell. The relative energy among the computed polymorphs is 1279 meV per atom. As for the total energy: -6.3103 eV/atom. The energy of formation from the pure elements is 2.059 eV per atom.

---

6.
DFT (PBE) results for a relaxed Fe3Si crystal.

Lattice parameters (Å, degrees): 7.897 7.897 2.528 90.00 90.00 120.00
Positions (direct):
1 Fe 0.000 0.500 0.000
2 Fe 0.167 0.333 0.333
3 Fe 0.167 0.833 0.333
4 Fe 0.333 0.167 0.667
5 Fe 0.500 0.000 0.000
6 Fe 0.500 0.500 0.000
7 Fe 0.667 0.833 0.333
8 Fe 0.833 0.167 0.667
9 Fe 0.833 0.667 0.667
10 Si 0.000 0.000 0.000
11 Si 0.333 0.667 0.667
12 Si 0.667 0.333 0.333

## Properties
For the total magnetization, the calculation gives 18.40 μB/cell. As for the total energy: -7.8626 eV/atom. The energy relative to the elements, uncorrected comes out at -159.8 meV per atom.

---

7.
DFT (PBE) results for a relaxed ZrAl2Mo crystal.

Lattice parameters (Å, degrees): 6.491 6.491 6.491 90.00 90.00 90.00
Positions (direct):
1 Zr 0.000 0.000 0.000
2 Zr 0.000 0.500 0.500
3 Zr 0.500 0.000 0.500
4 Zr 0.500 0.500 0.000
5 Al 0.000 0.000 0.500
6 Al 0.000 0.500 0.000
7 Al 0.250 0.250 0.250
8 Al 0.250 0.750 0.750
9 Al 0.500 0.000 0.000
10 Al 0.500 0.500 0.500
11 Al 0.750 0.250 0.750
12 Al 0.750 0.750 0.250
13 Mo 0.250 0.250 0.750
14 Mo 0.250 0.750 0.250
15 Mo 0.750 0.250 0.250
16 Mo 0.750 0.750 0.750

## Properties
For the total magnetization, the calculation gives 0.00 μB/cell. The relative energy among the computed polymorphs is 177 meV per atom. As for the total energy: -6.8097 eV/atom. The energy of formation from the pure elements is -0.094 eV per atom.

---

8.
DFT (PBE) results for a relaxed EuErGaAg crystal.

Lattice parameters (Å, degrees): 7.342 7.342 7.342 90.00 90.00 90.00
Positions (direct):
1 Eu 0.000 0.000 0.000
2 Eu 0.000 0.500 0.500
3 Eu 0.500 0.000 0.500
4 Eu 0.500 0.500 0.000
5 Er 0.000 0.000 0.500
6 Er 0.000 0.500 0.000
7 Er 0.500 0.000 0.000
8 Er 0.500 0.500 0.500
9 Ga 0.250 0.250 0.750
10 Ga 0.250 0.750 0.250
11 Ga 0.750 0.250 0.250
12 Ga 0.750 0.750 0.750
13 Ag 0.250 0.250 0.250
14 Ag 0.250 0.750 0.750
15 Ag 0.750 0.250 0.750
16 Ag 0.750 0.750 0.250

## Properties
For the total magnetization, the calculation gives 27.21 μB/cell. As for the total energy: -5.5608 eV/atom. The energy of formation from the pure elements is -0.382 eV per atom.